[1]
BeTcAg2Te: optimized geometry, GGA-PBE.

## Properties
**Space-group type**: P4/mmm
**VASP energy**: -4.01 eV per atom
**M_tot**: 2.1 μB per formula unit
**E_form (uncorrected)**: 577 meV/atom

Cell: 4.495 4.495 4.485 Å, 90.00 90.00 90.00°
Fractional positions:
Be 0.000 0.000 0.000
Tc 0.000 0.000 0.500
Ag 0.000 0.500 0.000
Ag 0.500 0.000 0.000
Te 0.500 0.500 0.500


[2]
Na2CaFeBi: optimized geometry, GGA-PBE.

## Properties
**Space-group type**: P4/mmm
**VASP energy**: -2.87 eV per atom
**M_tot**: 3.1 μB per formula unit
**Energy of formation from the pure elements**: 0.5305 eV/atom

Cell: 5.847 5.847 6.079 Å, 90.00 90.00 90.00°
Fractional positions:
Na 0.000 0.500 0.000
Na 0.500 0.000 0.000
Ca 0.000 0.000 0.500
Fe 0.500 0.500 0.500
Bi 0.000 0.000 0.000


[3]
Cs3Sb2Cl9: optimized geometry, GGA-PBE.

## Properties
**Space-group type**: P321
**VASP energy**: -3.39 eV per atom
**Energy above the most stable polymorph in this dataset**: 0.000 eV/atom
**M_tot**: 0.0 μB per formula unit
**E_form (uncorrected)**: -1433 meV/atom

Cell: 7.849 7.849 9.493 Å, 90.00 90.00 120.00°
Fractional positions:
Cs 0.000 0.000 0.000
Cs 0.333 0.667 0.666
Cs 0.667 0.333 0.334
Sb 0.333 0.667 0.180
Sb 0.667 0.333 0.820
Cl 0.000 0.525 0.000
Cl 0.165 0.359 0.328
Cl 0.194 0.835 0.328
Cl 0.359 0.165 0.672
Cl 0.475 0.475 0.000
Cl 0.525 0.000 0.000
Cl 0.641 0.806 0.328
Cl 0.806 0.641 0.672
Cl 0.835 0.194 0.672


[4]
ZrRhSe2: optimized geometry, GGA-PBE.

## Properties
**Space-group type**: R3m
**VASP energy**: -6.47 eV per atom
**Energy above the most stable polymorph in this dataset**: 0.114 eV/atom
**M_tot**: 0.0 μB per formula unit
**E_form (uncorrected)**: -749 meV/atom

Cell: 7.406 7.406 7.406 Å, 31.28 31.28 31.28°
Fractional positions:
Zr 0.000 0.000 0.000
Rh 0.746 0.746 0.746
Se 0.262 0.262 0.262
Se 0.439 0.439 0.439


[5]
LiPmTlGe: optimized geometry, GGA-PBE.

## Properties
**Space-group type**: F-43m
**VASP energy**: -3.76 eV per atom
**M_tot**: 0.0 μB per formula unit
**Energy of formation from the pure elements**: -0.3442 eV/atom

Cell: 5.108 5.108 5.108 Å, 60.00 60.00 60.00°
Fractional positions:
Li 0.000 0.000 0.000
Pm 0.500 0.500 0.500
Tl 0.750 0.750 0.750
Ge 0.250 0.250 0.250


[6]
Sr3HoTi2O9: optimized geometry, GGA-PBE.

## Properties
**Space-group type**: P-3m1
**VASP energy**: -7.66 eV per atom
**M_tot**: 0.7 μB per formula unit
**E_form (uncorrected)**: -2993 meV/atom

Cell: 5.746 5.746 7.227 Å, 90.00 90.00 120.00°
Fractional positions:
Sr 0.000 0.000 0.000
Sr 0.333 0.667 0.705
Sr 0.667 0.333 0.295
Ho 0.000 0.000 0.500
Ti 0.333 0.667 0.170
Ti 0.667 0.333 0.830
O 0.000 0.500 0.000
O 0.173 0.346 0.312
O 0.173 0.827 0.312
O 0.346 0.173 0.688
O 0.500 0.000 0.000
O 0.500 0.500 0.000
O 0.654 0.827 0.312
O 0.827 0.173 0.688
O 0.827 0.654 0.688


[7]
BaSn3F: optimized geometry, GGA-PBE.

## Properties
**Space-group type**: Pm-3m
**VASP energy**: -2.41 eV per atom
**Energy above the most stable polymorph in this dataset**: 1.473 eV/atom
**M_tot**: 1.7 μB per formula unit
**E_form (uncorrected)**: 748 meV/atom

Cell: 6.404 6.404 6.404 Å, 90.00 90.00 90.00°
Fractional positions:
Ba 0.000 0.000 0.000
Sn 0.000 0.000 0.500
Sn 0.000 0.500 0.000
Sn 0.500 0.000 0.000
F 0.500 0.500 0.500


[8]
Zr2HPtAu: optimized geometry, GGA-PBE.

## Properties
**Space-group type**: P4/mmm
**VASP energy**: -6.52 eV per atom
**Energy above the most stable polymorph in this dataset**: 0.000 eV/atom
**M_tot**: 0.1 μB per formula unit

Cell: 4.467 4.467 3.968 Å, 90.00 90.00 90.00°
Fractional positions:
Zr 0.000 0.500 0.000
Zr 0.500 0.000 0.000
H 0.000 0.000 0.000
Pt 0.000 0.000 0.500
Au 0.500 0.500 0.500


Look up the VASP energy of the seventh one. -2.41 eV per atom